! CaCoRe2, optimized geometry, DFT PBE; values from VASP
! Offset from the most stable computed form = 750 meV/atom
! Space group = I-42d (122)
! Energy of formation = 1092 meV/atom
&SYSTEM
  ibrav = 0, nat = 8, ntyp = 3
/
ATOMIC_SPECIES
Co 58.93 Co.upf
Re 186.21 Re.upf
Ca 40.08 Ca.upf
CELL_PARAMETERS angstrom
4.7358 0.0000 0.0000
0.0000 4.7358 0.0000
2.3679 2.3679 8.1893
ATOMIC_POSITIONS angstrom
Co 0.0000 0.0000 0.0000
Co 4.7358 2.3679 4.0946
Re 4.9180 3.5519 2.0473
Re 4.5536 1.1840 2.0473
Re 5.9198 2.1857 6.1419
Re 3.5519 2.5501 6.1419
Ca 2.3679 4.7358 4.0946
Ca 2.3679 2.3679 0.0000


! PrSi4Ni4, optimized geometry, DFT PBE; values from VASP
! Space group = P4_2/nmc (137)
! Formation energy (no corrections) = -5.46 eV/f.u.
&SYSTEM
  ibrav = 0, nat = 18, ntyp = 3
/
ATOMIC_SPECIES
Ni 58.69 Ni.upf
Si 28.09 Si.upf
Pr 140.91 Pr.upf
CELL_PARAMETERS angstrom
5.7014 0.0000 0.0000
0.0000 5.7014 0.0000
0.0000 0.0000 7.8751
ATOMIC_POSITIONS angstrom
Ni 4.4109 2.8507 6.9197
Ni 0.0000 1.5602 2.9822
Ni 0.0000 4.1413 2.9822
Ni 1.5602 0.0000 4.8929
Ni 4.1413 0.0000 4.8929
Ni 1.2906 2.8507 6.9197
Ni 2.8507 4.4109 0.9554
Ni 2.8507 1.2906 0.9554
Si 4.5099 2.8507 1.3571
Si 0.0000 4.0422 5.2947
Si 1.6592 0.0000 2.5804
Si 2.8507 4.5099 6.5180
Si 1.1915 2.8507 1.3571
Si 4.0422 0.0000 2.5804
Si 2.8507 1.1915 6.5180
Si 0.0000 1.6592 5.2947
Pr 0.0000 0.0000 0.0000
Pr 2.8507 2.8507 3.9376


Number 1: density of states at the Fermi level 1.203 states/eV/atom. Number 2: density of states at the Fermi level 0.483 states/eV/atom.